# Fe2BiCl (PBE, optimized geometry)
# total energy: -81.9 eV per cell
# uncorrected formation energy: 543 meV per atom
data_Fe2BiCl
_chemical_formula_sum 'Fe8 Bi4 Cl4'
_space_group_name_H-M_alt 'I -4 2 d'
_space_group_IT_number 122
_space_group_name_Hall 'I -4 2bw'
_cell_length_a 4.6776
_cell_length_b 4.6776
_cell_length_c 13.9454
_cell_angle_alpha 90.00
_cell_angle_beta 90.00
_cell_angle_gamma 90.00
loop_
_atom_site_label
_atom_site_type_symbol
_atom_site_fract_x
_atom_site_fract_y
_atom_site_fract_z
_atom_site_occupancy
Fe1 Fe 0.1073 0.2500 0.1250 1
Bi1 Bi 0.0000 0.0000 0.5000 1
Cl1 Cl 0.0000 0.0000 0.0000 1